(1)
A relaxed Sc4Cu3Au2 crystal. Source: Alexandria, functional PBE.

Properties
**Final energy**: -5.3325 eV per atom

Cell: 4.9993 4.9993 8.2073 Å, 100.44 100.44 53.54°
With the nearest neighbours (Å) after each atom.
Atoms (fractional coordinates):
Sc  0.0661  0.0661  0.3422  4 Cu 2.64-2.85, 3 Au 2.88
Sc  0.3550  0.3550  0.1045  3 Cu 2.75-2.82, 3 Au 2.88-2.91
Sc  0.6450  0.6450  0.8955  3 Cu 2.75-2.82, 3 Au 2.88-2.91
Sc  0.9339  0.9339  0.6578  4 Cu 2.64-2.85, 3 Au 2.88
Cu  0.0000  0.0000  0.0000  6 Sc 2.75-2.82
Cu  0.3670  0.3670  0.4420  1 Cu 2.37, 1 Sc 2.64
Cu  0.6330  0.6330  0.5580  1 Cu 2.37, 1 Sc 2.64
Au  0.2635  0.2635  0.7432  3 Cu 2.81-2.83, 6 Sc 2.88-2.91
Au  0.7365  0.7365  0.2568  3 Cu 2.81-2.83, 6 Sc 2.88-2.91


(2)
A relaxed LiSb2As crystal. Source: Alexandria, functional PBE.

Properties
**Formation energy from raw total energies**: -0.03 eV/atom

Cell: 4.6129 4.6129 4.3421 Å, 90.00 90.00 90.00°
With the nearest neighbours (Å) after each atom.
Atoms (fractional coordinates):
Li  0.0000  0.0000  0.0000  8 Sb 3.17, 4 As 3.26
Sb  0.0000  0.5000  0.5000  4 Li 3.17, 4 As 3.17, 4 Sb 3.26
Sb  0.5000  0.0000  0.5000  4 Li 3.17, 4 As 3.17, 4 Sb 3.26
As  0.5000  0.5000  0.0000  8 Sb 3.17, 4 Li 3.26


(3)
A relaxed NbHgPd2 crystal. Source: Alexandria, functional PBE.

Properties
**Final energy**: -5.3171 eV per atom

Cell: 2.9727 2.9727 27.6652 Å, 90.00 90.00 120.00°
With the nearest neighbours (Å) after each atom.
Atoms (fractional coordinates):
Nb  0.0000  0.0000  0.0000  6 Pd 2.79, 6 Nb 2.97
Nb  0.3333  0.6667  0.6667  6 Pd 2.79, 6 Nb 2.97
Nb  0.6667  0.3333  0.3333  6 Pd 2.79, 6 Nb 2.97
Hg  0.0000  0.0000  0.5000  6 Pd 2.96, 6 Hg 2.97
Hg  0.3333  0.6667  0.1667  6 Pd 2.96, 6 Hg 2.97
Hg  0.6667  0.3333  0.8333  6 Pd 2.96, 6 Hg 2.97
Pd  0.0000  0.0000  0.2539  3 Nb 2.79, 3 Hg 2.96, 6 Pd 2.97
Pd  0.0000  0.0000  0.7461  3 Nb 2.79, 3 Hg 2.96, 6 Pd 2.97
Pd  0.3333  0.6667  0.4128  3 Nb 2.79, 3 Hg 2.96, 6 Pd 2.97
Pd  0.3333  0.6667  0.9205  3 Nb 2.79, 3 Hg 2.96, 6 Pd 2.97
Pd  0.6667  0.3333  0.0795  3 Nb 2.79, 3 Hg 2.96, 6 Pd 2.97
Pd  0.6667  0.3333  0.5872  3 Nb 2.79, 3 Hg 2.96, 6 Pd 2.97


(4)
A relaxed Ho4SbTe2Se crystal. Source: Alexandria, functional PBE.

Properties
**Formation energy from raw total energies**: -1.36 eV/atom

Cell: 7.3782 4.2610 7.4860 Å, 90.00 109.17 90.00°
With the nearest neighbours (Å) after each atom.
Atoms (fractional coordinates):
Ho  0.2286  0.0000  0.2224  2 Se 2.88, 1 Sb 2.99, 3 Te 3.08-3.18
Ho  0.2436  0.5000  0.7695  1 Se 2.87, 2 Sb 2.99, 3 Te 3.08-3.19
Ho  0.7564  0.5000  0.2305  1 Se 2.87, 2 Sb 2.99, 3 Te 3.08-3.19
Ho  0.7714  0.0000  0.7776  2 Se 2.88, 1 Sb 2.99, 3 Te 3.08-3.18
Sb  0.5000  0.0000  0.0000  6 Ho 2.99
Te  0.0000  0.0000  0.5000  6 Ho 3.08
Te  0.5000  0.5000  0.5000  6 Ho 3.18-3.19
Se  0.0000  0.5000  0.0000  6 Ho 2.87-2.88


(5)
A relaxed GeRhN2O crystal. Source: Alexandria, functional PBE.

Properties
**Formation energy from raw total energies**: 0.86 eV/atom

Cell: 3.7943 3.7943 4.3065 Å, 90.00 90.00 90.00°
With the nearest neighbours (Å) after each atom.
Atoms (fractional coordinates):
Ge  0.0000  0.0000  0.0000  4 O 2.68, 8 N 2.87
Rh  0.5000  0.5000  0.5000  4 N 1.90
N  0.0000  0.5000  0.5000  2 Rh 1.90
N  0.5000  0.0000  0.5000  2 Rh 1.90
O  0.5000  0.5000  0.0000  2 Rh 2.15


(6)
A relaxed Ta4PtRh crystal. Source: Alexandria, functional PBE.

Properties
**Final energy**: -9.9865 eV per atom

Cell: 5.3190 5.3190 5.3190 Å, 60.00 60.00 60.00°
With the nearest neighbours (Å) after each atom.
Atoms (fractional coordinates):
Ta  0.1252  0.1252  0.1252  6 Ta 2.66
Ta  0.1252  0.1252  0.6244  6 Ta 2.66
Ta  0.1252  0.6244  0.1252  6 Ta 2.66
Ta  0.6244  0.1252  0.1252  6 Ta 2.66
Pt  0.7500  0.7500  0.7500  12 Ta 3.12, 4 Rh 3.26
Rh  0.5000  0.5000  0.5000  12 Ta 3.12, 4 Pt 3.26